Record 1
First-principles (GGA-PBE) data for crystalline BaCaCdF6 at its relaxed geometry, as listed in Alexandria.

ρ = 4.217 g/cm3
M_tot = 0.000 Bohr magnetons per cell
ΔE_f (raw) = -3125 meV per atom
symmetry = Imma (74)

Cell: 7.705 7.612 7.663 Å, 119.78 120.18 90.00°
Element x y z (fractional)
1 Ba 0.877 0.627 0.754
2 Ba 0.123 0.373 0.246
3 Ca 0.500 0.000 0.500
4 Ca 0.000 0.000 0.500
5 Cd 0.500 0.500 0.000
6 Cd 0.500 0.000 0.000
7 F 0.388 0.638 0.776
8 F 0.855 0.105 0.711
9 F 0.858 0.109 0.249
10 F 0.391 0.639 0.249
11 F 0.391 0.109 0.249
12 F 0.858 0.639 0.249
13 F 0.612 0.362 0.224
14 F 0.145 0.895 0.289
15 F 0.142 0.891 0.751
16 F 0.609 0.361 0.751
17 F 0.609 0.891 0.751
18 F 0.142 0.361 0.751

Record 2
First-principles (GGA-PBE) data for crystalline U6Re2Ru at its relaxed geometry, as listed in Alexandria.

ρ = 17.040 g/cm3
electronic total energy = -11.043 eV/atom
M_tot = 0.002 Bohr magnetons per cell
symmetry = C2/m (12)

Cell: 5.496 6.135 6.404 Å, 118.61 100.64 90.00°
Element x y z (fractional)
1 U 0.716 0.789 0.162
2 U 0.677 0.803 0.605
3 U 0.716 0.373 0.162
4 U 0.284 0.211 0.838
5 U 0.323 0.197 0.395
6 U 0.284 0.627 0.838
7 Re 0.237 0.678 0.357
8 Re 0.763 0.322 0.643
9 Ru 0.000 0.000 0.000

Record 3
First-principles (GGA-PBE) data for crystalline NaTlIn2Ru at its relaxed geometry, as listed in Alexandria.

ρ = 6.476 g/cm3
electronic total energy = -3.659 eV/atom
M_tot = 0.000 Bohr magnetons per cell
symmetry = P4/mmm (123)

Cell: 5.194 5.194 5.303 Å, 90.00 90.00 90.00°
Element x y z (fractional)
1 Ru 0.000 0.000 0.000
2 Tl 0.000 0.000 0.500
3 Na 0.500 0.500 0.500
4 In 0.000 0.500 0.000
5 In 0.500 0.000 0.000

Record 4
First-principles (GGA-PBE) data for crystalline Ac8Te4PRh3 at its relaxed geometry, as listed in Alexandria.

ρ = 8.104 g/cm3
M_tot = 0.000 Bohr magnetons per cell
ΔE_f (raw) = -1191 meV per atom
symmetry = R-3m (166)

Cell: 8.934 9.437 8.934 Å, 118.25 120.00 90.00°
Element x y z (fractional)
1 Ac 0.240 0.710 0.970
2 Ac 0.240 0.710 0.479
3 Ac 0.262 0.286 0.524
4 Ac 0.730 0.710 0.970
5 Ac 0.270 0.290 0.030
6 Ac 0.738 0.714 0.476
7 Ac 0.760 0.290 0.521
8 Ac 0.760 0.290 0.030
9 Te 0.500 0.000 0.000
10 Te 0.500 0.000 0.500
11 Te 0.000 0.000 0.000
12 Te 0.000 0.000 0.500
13 P 0.000 0.500 0.000
14 Rh 0.500 0.500 0.000
15 Rh 0.500 0.500 0.500
16 Rh 0.000 0.500 0.500

Record 5
First-principles (GGA-PBE) data for crystalline BeCoRu4 at its relaxed geometry, as listed in Alexandria.

ρ = 8.845 g/cm3
electronic total energy = -7.214 eV/atom
M_tot = 4.239 Bohr magnetons per cell
symmetry = F-43m (216)

Cell: 5.005 5.005 5.005 Å, 60.00 60.00 60.00°
Each line ends with the local moment (μB).
Element x y z (fractional)
1 Be 0.250 0.250 0.250  -0.02
2 Co 0.000 0.000 0.000  2.03
3 Ru 0.625 0.625 0.126  0.56
4 Ru 0.625 0.126 0.625  0.56
5 Ru 0.625 0.625 0.625  0.56
6 Ru 0.126 0.625 0.625  0.56

Record 6
First-principles (GGA-PBE) data for crystalline CaLa2Mn at its relaxed geometry, as listed in Alexandria.

ρ = 4.710 g/cm3
relative energy among the computed polymorphs = 0 meV per atom
M_tot = 2.595 Bohr magnetons per cell
symmetry = P4/mmm (123)

Cell: 3.687 3.687 9.666 Å, 90.00 90.00 89.99°
Each line ends with the local moment (μB).
Element x y z (fractional)
1 Ca 0.500 0.500 0.750  0.00
2 Mn 0.500 0.500 0.250  3.37
3 La 0.000 0.000 0.064  -0.24
4 La 0.000 0.000 0.436  -0.24

Record 7
First-principles (GGA-PBE) data for crystalline Ac2C2SeO6 at its relaxed geometry, as listed in Alexandria.

ρ = 6.396 g/cm3
M_tot = 0.000 Bohr magnetons per cell
ΔE_f (raw) = -2222 meV per atom
symmetry = P-1 (2)

Cell: 6.757 4.572 6.772 Å, 115.83 99.60 64.21°
Element x y z (fractional)
1 Ac 0.747 0.501 0.747
2 Ac 0.253 0.499 0.253
3 C 0.176 0.757 0.824
4 C 0.824 0.243 0.176
5 Se 0.500 0.000 0.500
6 O 0.339 0.840 0.922
7 O 0.897 0.396 0.101
8 O 0.077 0.839 0.661
9 O 0.103 0.604 0.899
10 O 0.923 0.161 0.339
11 O 0.661 0.160 0.078

Record 8
First-principles (GGA-PBE) data for crystalline CdHClF2 at its relaxed geometry, as listed in Alexandria.

ρ = 4.126 g/cm3
electronic total energy = -3.542 eV/atom
M_tot = 0.000 Bohr magnetons per cell
symmetry = P2_1/m (11)

Cell: 3.874 6.070 6.536 Å, 101.89 90.00 90.00°
Element x y z (fractional)
1 Cd 0.750 0.944 0.247
2 Cd 0.250 0.056 0.753
3 H 0.750 0.609 0.597
4 H 0.250 0.391 0.403
5 Cl 0.750 0.245 0.001
6 Cl 0.250 0.755 0.999
7 F 0.250 0.538 0.366
8 F 0.250 0.130 0.424
9 F 0.750 0.870 0.576
10 F 0.750 0.462 0.634

Record 9
First-principles (GGA-PBE) data for crystalline Mg5Zn2Ag4 at its relaxed geometry, as listed in Alexandria.

ρ = 5.658 g/cm3
electronic total energy = -2.142 eV/atom
M_tot = 0.000 Bohr magnetons per cell
symmetry = P-1 (2)

Cell: 4.700 8.570 5.441 Å, 85.80 113.30 90.60°
Element x y z (fractional)
1 Mg 0.853 0.460 0.712
2 Mg 0.147 0.540 0.288
3 Mg 0.787 0.104 0.571
4 Mg 0.500 0.000 0.000
5 Mg 0.213 0.896 0.429
6 Zn 0.584 0.367 0.162
7 Zn 0.416 0.633 0.838
8 Ag 0.330 0.275 0.663
9 Ag 0.941 0.805 0.882
10 Ag 0.670 0.725 0.337
11 Ag 0.059 0.195 0.118

Record 10
First-principles (GGA-PBE) data for crystalline NbV5Tc6 at its relaxed geometry, as listed in Alexandria.

ρ = 9.055 g/cm3
electronic total energy = -10.163 eV/atom
M_tot = 0.000 Bohr magnetons per cell
symmetry = Cmmm (65)

Cell: 4.323 6.125 6.831 Å, 90.00 108.43 90.00°
Element x y z (fractional)
1 Nb 0.000 0.000 0.000
2 Tc 0.831 0.747 0.662
3 Tc 0.831 0.253 0.662
4 Tc 0.500 0.256 0.000
5 Tc 0.500 0.744 0.000
6 Tc 0.169 0.747 0.338
7 Tc 0.169 0.253 0.338
8 V 0.667 0.500 0.335
9 V 0.331 0.000 0.662
10 V 0.000 0.500 0.000
11 V 0.669 0.000 0.338
12 V 0.333 0.500 0.665

Record 11
First-principles (GGA-PBE) data for crystalline CuRe2SnAu at its relaxed geometry, as listed in Alexandria.

ρ = 12.874 g/cm3
electronic total energy = -5.641 eV/atom
M_tot = 0.001 Bohr magnetons per cell
symmetry = P4/mmm (123)

Cell: 4.566 4.651 4.566 Å, 90.00 90.00 90.00°
Element x y z (fractional)
1 Re 0.000 0.000 0.500
2 Re 0.500 0.000 0.000
3 Au 0.000 0.500 0.000
4 Sn 0.500 0.500 0.500
5 Cu 0.000 0.000 0.000

Record 12
First-principles (GGA-PBE) data for crystalline LiNd2Sn9 at its relaxed geometry, as listed in Alexandria.

ρ = 7.117 g/cm3
electronic total energy = -4.338 eV/atom
M_tot = 0.000 Bohr magnetons per cell
symmetry = P4/mmm (123)

Cell: 4.710 4.710 14.341 Å, 90.00 90.00 90.00°
Element x y z (fractional)
1 Li 0.000 0.000 0.000
2 Nd 0.000 0.000 0.335
3 Nd 0.000 0.000 0.665
4 Sn 0.500 0.500 0.000
5 Sn 0.500 0.500 0.326
6 Sn 0.500 0.500 0.674
7 Sn 0.500 0.000 0.157
8 Sn 0.500 0.000 0.500
9 Sn 0.500 0.000 0.843
10 Sn 0.000 0.500 0.157
11 Sn 0.000 0.500 0.500
12 Sn 0.000 0.500 0.843